Entry 1:
## PrErNiPt (PBE)

Data for a geometry-optimized PrErNiPt structure.

Cell: 4.474 5.481 5.481 Å, 41.66 90.00 90.00°
Fractional positions:
Pr  0.000  0.000  0.000
Er  0.500  0.719  0.719
Ni  0.000  0.276  0.276
Pt  0.500  0.430  0.430

Results
* ΔE to the lowest computed polymorph: 0.000 eV/atom
* energy of formation: -76 kJ/mol of atoms
* E: -6.08 eV/atom


Entry 2:
## Tl2BiAu (PBE)

Data for a geometry-optimized Tl2BiAu structure.

Cell: 4.498 4.498 5.448 Å, 90.00 90.00 90.00°
Fractional positions:
Tl  0.000  0.500  0.000
Tl  0.500  0.000  0.000
Bi  0.000  0.000  0.500
Au  0.500  0.500  0.500

Results
* ΔE to the lowest computed polymorph: 0.066 eV/atom
* energy of formation: 5 kJ/mol of atoms
* E: -2.92 eV/atom


Entry 3:
## RePd3F (PBE)

Data for a geometry-optimized RePd3F structure.

Cell: 4.806 4.806 4.806 Å, 90.00 90.00 90.00°
Fractional positions:
Re  0.000  0.000  0.000
Pd  0.000  0.000  0.500
Pd  0.000  0.500  0.000
Pd  0.500  0.000  0.000
F  0.500  0.500  0.500

Results
* ΔE to the lowest computed polymorph: 0.219 eV/atom
* E: -4.95 eV/atom
* raw formation energy: 1.03 eV/atom